No. 1
# Ho2Er3Th4

Ho2Er3Th4 after structural relaxation (PBE-GGA, Alexandria via LeMat-Bulk).

Structure (CIF):
```
data_Ho2Er3Th4
_chemical_formula_sum 'Ho4 Er6 Th8'
_space_group_name_H-M_alt 'C 1 2/m 1'
_space_group_IT_number 12
_cell_length_a 15.0825
_cell_length_b 5.0156
_cell_length_c 7.9223
_cell_angle_alpha 90.00
_cell_angle_beta 108.38
_cell_angle_gamma 90.00
loop_
_space_group_symop_operation_xyz
'x,y,z'
'-x,-y,-z'
'-x,y,-z'
'x,-y,z'
'x+1/2,y+1/2,z'
'-x+1/2,-y+1/2,-z'
'-x+1/2,y+1/2,-z'
'x+1/2,-y+1/2,z'
loop_
_atom_site_label
_atom_site_fract_x
_atom_site_fract_y
_atom_site_fract_z
Ho1 0.1670 0.0000 0.0018
Er1 0.0000 0.5000 0.0000
Er2 0.1102 0.5000 0.6644
Th1 0.0581 0.0000 0.3342
Th2 0.2209 0.5000 0.3361
```

Summary:
- ΔE to the lowest computed polymorph (meV/atom) = 0.0
- DOS(E_F) (states/eV/f.u.) = 13.6


No. 2
# Nd4YTe7

Nd4YTe7 after structural relaxation (PBE-GGA, Alexandria via LeMat-Bulk).

Structure (CIF):
```
data_Nd4YTe7
_chemical_formula_sum 'Nd8 Y2 Te14'
_space_group_name_H-M_alt 'C 1 m 1'
_space_group_IT_number 8
_cell_length_a 14.6627
_cell_length_b 4.3480
_cell_length_c 13.4427
_cell_angle_alpha 90.00
_cell_angle_beta 104.55
_cell_angle_gamma 90.00
loop_
_space_group_symop_operation_xyz
'x,y,z'
'x,-y,z'
'x+1/2,y+1/2,z'
'x+1/2,-y+1/2,z'
loop_
_atom_site_label
_atom_site_fract_x
_atom_site_fract_y
_atom_site_fract_z
Nd1 0.0000 0.0000 0.0000
Nd2 0.0863 0.5000 0.3833
Nd3 0.1861 0.0000 0.7649
Nd4 0.3857 0.5000 0.5716
Y1 0.2709 0.5000 0.1499
Te1 0.0477 0.5000 0.6226
Te2 0.1299 0.5000 0.9277
Te3 0.1498 0.0000 0.2238
Te4 0.2235 0.0000 0.5255
Te5 0.3490 0.5000 0.7902
Te6 0.3819 0.0000 0.0763
Te7 0.4217 0.5000 0.3527
```

Summary:
- DOS(E_F) (states/eV/f.u.) = 2.2
- uncorrected formation energy (meV per atom) = -1432


No. 3
# OsRu2

OsRu2 after structural relaxation (PBE-GGA, Alexandria via LeMat-Bulk).

Structure (CIF):
```
data_OsRu2
_chemical_formula_sum 'Os1 Ru2'
_space_group_name_H-M_alt 'P -3 m 1'
_space_group_IT_number 164
_space_group_name_Hall '-P 3 2"'
_cell_length_a 2.7144
_cell_length_b 2.7144
_cell_length_c 6.6266
_cell_angle_alpha 90.00
_cell_angle_beta 90.00
_cell_angle_gamma 120.00
loop_
_atom_site_label
_atom_site_fract_x
_atom_site_fract_y
_atom_site_fract_z
Os1 0.0000 0.0000 0.0000
Ru1 0.3333 0.6667 0.6673
```

Summary:
- ΔE to the lowest computed polymorph (meV/atom) = 141.3
- DOS(E_F) (states/eV/f.u.) = 3.5


No. 4
# Pm5YSe6

Pm5YSe6 after structural relaxation (PBE-GGA, Alexandria via LeMat-Bulk).

Structure (CIF):
```
data_Pm5YSe6
_chemical_formula_sum 'Pm10 Y2 Se12'
_space_group_name_H-M_alt 'C 1 2/m 1'
_space_group_IT_number 12
_cell_length_a 7.2379
_cell_length_b 12.5658
_cell_length_c 7.2255
_cell_angle_alpha 90.00
_cell_angle_beta 109.63
_cell_angle_gamma 90.00
loop_
_space_group_symop_operation_xyz
'x,y,z'
'-x,-y,-z'
'-x,y,-z'
'x,-y,z'
'x+1/2,y+1/2,z'
'-x+1/2,-y+1/2,-z'
'-x+1/2,y+1/2,-z'
'x+1/2,-y+1/2,z'
loop_
_atom_site_label
_atom_site_fract_x
_atom_site_fract_y
_atom_site_fract_z
Pm1 0.0000 0.0000 0.0000
Pm2 0.0000 0.1675 0.5000
Pm3 0.0000 0.3292 0.0000
Y1 0.0000 0.5000 0.5000
Se1 0.2440 0.5000 0.2513
Se2 0.2452 0.3368 0.7455
```

Summary:
- DOS(E_F) (states/eV/f.u.) = 5.0
- uncorrected formation energy (meV per atom) = -1825